[1]
A relaxed structure of Sr2Ac3Ag2Hg4. Source: the Alexandria database, functional PBE.

a = 4.998 Å, b = 4.998 Å, c = 17.655 Å
α = 90.00°, β = 90.00°, γ = 120.00°
Element x y z (fractional)
1 Hg 0.667 0.333 0.679
2 Ac 0.000 0.000 0.218
3 Ag 0.667 0.333 0.886
4 Ag 0.333 0.667 0.114
5 Sr 0.333 0.667 0.589
6 Hg 0.333 0.667 0.890
7 Hg 0.333 0.667 0.321
8 Ac 0.000 0.000 0.000
9 Sr 0.667 0.333 0.411
10 Ac 0.000 0.000 0.782
11 Hg 0.667 0.333 0.110

The calculation puts the energy of formation from the pure elements at -0.346 eV/atom. Its space group is P-3m1 (164). Its electronic total energy is -2.4008 eV per atom. The calculation puts the density of states at the Fermi level at 9.77 states/eV/cell. The calculated volume is 382 Å³/cell.

***

[2]
A relaxed structure of SrAcAgHg. Source: the Alexandria database, functional PBE.

a = 3.988 Å, b = 3.988 Å, c = 7.998 Å
α = 90.00°, β = 90.00°, γ = 90.00°
Element x y z (fractional)
1 Sr 0.500 0.500 0.104
2 Hg 0.000 0.000 0.359
3 Ac 0.500 0.500 0.614
4 Ag 0.000 0.000 0.851

The energy above the lowest structure with this stoichiometry is 0 meV/atom. The calculation puts the energy of formation from the pure elements at -0.388 eV/atom. Its space group is P4mm (99). Its electronic total energy is -2.6238 eV per atom. The calculation puts the density of states at the Fermi level at 2.81 states/eV/cell. The calculated volume is 127 Å³/cell.

***

[3]
A relaxed structure of SrAcAgHg. Source: the Alexandria database, functional PBE.

a = 5.633 Å, b = 5.633 Å, c = 5.633 Å
α = 60.00°, β = 60.00°, γ = 60.00°
Element x y z (fractional)
1 Sr 0.500 0.500 0.500
2 Ag 0.250 0.250 0.250
3 Ac 0.000 0.000 0.000
4 Hg 0.750 0.750 0.750

The energy above the lowest structure with this stoichiometry is 8 meV/atom. The calculation puts the energy of formation from the pure elements at -0.380 eV/atom. Its space group is F-43m (216). Its electronic total energy is -2.6161 eV per atom. The calculation puts the density of states at the Fermi level at 3.79 states/eV/cell. The calculated volume is 126 Å³/cell.

***

[4]
A relaxed structure of AcTbAgHg. Source: the Alexandria database, functional PBE.

a = 5.462 Å, b = 5.462 Å, c = 5.462 Å
α = 60.00°, β = 60.00°, γ = 60.00°
Element x y z (fractional)
1 Ag 0.750 0.750 0.750
2 Hg 0.250 0.250 0.250
3 Ac 0.500 0.500 0.500
4 Tb 0.000 0.000 0.000

The energy above the lowest structure with this stoichiometry is 28 meV/atom. The calculation puts the energy of formation from the pure elements at -0.341 eV/atom. Its space group is F-43m (216). Its electronic total energy is -3.3136 eV per atom. The calculation puts the density of states at the Fermi level at 2.30 states/eV/cell. The calculated volume is 115 Å³/cell.